# 1
A geometry-optimized AgSnH2Se structure. Source: Alexandria via LeMat-Bulk, functional PBE-GGA.

Results
Space-group type: No. 123
Density of states at the Fermi level in states/eV per atom: 0.21
Final energy in eV per cell: -16.368

abc: 3.9233 3.9233 5.8178
angles: 90.00 90.00 90.00
Element x y z (fractional)
Ag  0.0000  0.0000  0.0000
Sn  0.5000  0.5000  0.5000
H  0.0000  0.5000  0.5000
H  0.5000  0.0000  0.5000
Se  0.5000  0.5000  0.0000

# 2
A geometry-optimized RbYAs2O8 structure. Source: Alexandria via LeMat-Bulk, functional PBE-GGA.

Results
Space-group type: No. 147
Density of states at the Fermi level in states/eV per atom: 0.93
Formation energy without anion corrections in eV per formula unit: -19.132

abc: 5.8580 5.8580 8.1060
angles: 90.00 90.00 120.00
Element x y z (fractional)
Rb  0.0000  0.0000  0.0000
Y  0.0000  0.0000  0.5000
As  0.3333  0.6667  0.7369
As  0.6667  0.3333  0.2631
O  0.1675  0.3468  0.6718
O  0.1793  0.8325  0.6718
O  0.3333  0.6667  0.9502
O  0.3468  0.1793  0.3282
O  0.6532  0.8207  0.6718
O  0.6667  0.3333  0.0498
O  0.8207  0.1675  0.3282
O  0.8325  0.6532  0.3282

# 3
A geometry-optimized LaPm3In2 structure. Source: Alexandria via LeMat-Bulk, functional PBE-GGA.

Results
Space-group type: No. 12
Density of states at the Fermi level in states/eV per atom: 1.10
E_form in meV per atom: -264.3
Relative energy among the computed polymorphs in meV per atom: 88

abc: 8.8298 8.8298 9.4061
angles: 117.49 117.49 36.32
Element x y z (fractional)
La  0.1302  0.1302  0.1730
La  0.8698  0.8698  0.8270
Pm  0.0600  0.0600  0.7139
Pm  0.3054  0.3054  0.0000
Pm  0.3823  0.3823  0.4560
Pm  0.6177  0.6177  0.5440
Pm  0.6946  0.6946  0.0000
Pm  0.9400  0.9400  0.2861
In  0.2280  0.2280  0.5922
In  0.4827  0.4827  0.8339
In  0.5173  0.5173  0.1661
In  0.7720  0.7720  0.4078

# 4
A geometry-optimized Zn2CuAg3 structure. Source: Alexandria via LeMat-Bulk, functional PBE-GGA.

Results
Space-group type: No. 12
Density of states at the Fermi level in states/eV per atom: 0.31
E_form in meV per atom: 39.2

abc: 6.8247 6.8247 10.4565
angles: 102.71 102.71 24.56
Element x y z (fractional)
Zn  0.0781  0.0781  0.4531
Zn  0.4171  0.4171  0.0469
Zn  0.5829  0.5829  0.9531
Zn  0.9219  0.9219  0.5469
Cu  0.0896  0.0896  0.7298
Cu  0.9104  0.9104  0.2702
Ag  0.2375  0.2375  0.1170
Ag  0.2728  0.2728  0.3875
Ag  0.4136  0.4136  0.7682
Ag  0.5864  0.5864  0.2318
Ag  0.7272  0.7272  0.6125
Ag  0.7625  0.7625  0.8830

# 5
A geometry-optimized CrSbTe2S structure. Source: Alexandria via LeMat-Bulk, functional PBE-GGA.

Results
Space-group type: No. 123
Density of states at the Fermi level in states/eV per atom: 0.97
Relative energy among the computed polymorphs in meV per atom: 0
Formation energy without anion corrections in eV per formula unit: 2.580

abc: 4.9364 4.9364 5.1361
angles: 90.00 90.00 90.00
Element x y z (fractional)
Cr  0.0000  0.0000  0.0000
Sb  0.0000  0.0000  0.5000
Te  0.0000  0.5000  0.0000
Te  0.5000  0.0000  0.0000
S  0.5000  0.5000  0.5000

# 6
A geometry-optimized HfGaHg2 structure. Source: Alexandria via LeMat-Bulk, functional PBE-GGA.

Results
Space-group type: No. 166
Density of states at the Fermi level in states/eV per atom: 0.63
E_form in meV per atom: 289.7

abc: 3.1708 3.1708 32.0900
angles: 90.00 90.00 120.00
Element x y z (fractional)
Hf  0.0000  0.0000  0.0000
Hf  0.3333  0.6667  0.6667
Hf  0.6667  0.3333  0.3333
Ga  0.0000  0.0000  0.5000
Ga  0.3333  0.6667  0.1667
Ga  0.6667  0.3333  0.8333
Hg  0.0000  0.0000  0.0905
Hg  0.0000  0.0000  0.9095
Hg  0.3333  0.6667  0.5762
Hg  0.3333  0.6667  0.7571
Hg  0.6667  0.3333  0.2429
Hg  0.6667  0.3333  0.4238

Which value of density of states at the Fermi level does entry 2 give?
0.93 states/eV per atom